The following is a DFT calculation (PBE) of crystalline Rb2Pd3O4 at its relaxed geometry.

Cell: 5.9152 9.5834 12.0009 Å, 90.00 90.00 90.00°
Last column: nearest neighbours and their distance in Å.
Space group Fmmm (No. 69)
Symmetry-distinct sites (fractional):
Rb1 0.0000 0.0000 0.1785 [8 per cell]  4 O 3.07-3.27, 2 Rb 3.42
Pd1 0.0000 0.0000 0.5000 [4 per cell]  4 O 2.07
Pd2 0.2500 0.2500 0.0000 [8 per cell]  4 O 2.09
O1 0.0000 0.1712 0.3946 [16 per cell]  3 Pd 2.07-2.09



The following is a DFT calculation (PBE) of crystalline Rb4PdO4 at its relaxed geometry.

Cell: 6.4575 6.4575 12.7164 Å, 90.00 90.00 90.00°
Last column: nearest neighbours and their distance in Å.
Space group I-42m (No. 121)
Symmetry-distinct sites (fractional):
Rb1 0.0000 0.0000 0.2140 [4 per cell]  2 O 2.63
Rb2 0.0000 0.5000 0.0000 [4 per cell]  4 O 2.83
Pd1 0.0000 0.0000 0.5000 [2 per cell]  4 O 1.98
O1 0.1528 0.1528 0.6110 [8 per cell]  1 Pd 1.98

E above lowest polymorph ... 154 meV/atom



The following is a DFT calculation (PBE) of crystalline Rb12Pd3O5 at its relaxed geometry.

Cell: 17.9538 17.9538 17.9538 Å, 90.00 90.00 90.00°
Last column: nearest neighbours and their distance in Å.
Space group Ia-3d (No. 230)
Symmetry-distinct sites (fractional):
Rb1 0.0314 0.0509 0.6475 [96 per cell]  2 O 2.65-2.86
Pd1 0.0000 0.2500 0.1250 [24 per cell]  8 Rb 3.48-3.64
O1 0.0000 0.0000 0.0000 [16 per cell]  6 Rb 2.86
O2 0.0000 0.2500 0.3750 [24 per cell]  4 Rb 2.65



The following is a DFT calculation (PBE) of crystalline RbPdO at its relaxed geometry.

Cell: 3.8230 4.6941 8.6636 Å, 74.51 89.95 90.00°
Last column: nearest neighbours and their distance in Å.
Space group P-1 (No. 2)
Symmetry-distinct sites (fractional):
Rb1 0.2493 0.3331 0.3323 [2 per cell]  5 O 2.88-3.03
Pd1 0.2500 0.0503 0.9028 [2 per cell]  1 O 1.89
O1 0.2507 0.1628 0.6766 [2 per cell]  1 Pd 1.89



The following is a DFT calculation (PBE) of crystalline Rb5Pd2O5 at its relaxed geometry.

Cell: 12.7763 4.1432 9.7704 Å, 90.00 93.51 90.00°
Last column: nearest neighbours and their distance in Å.
Space group C2/m (No. 12)
Symmetry-distinct sites (fractional):
Rb1 0.0000 0.0000 0.0000 [2 per cell]  6 O 2.88-2.97
Rb2 0.1276 0.0000 0.4507 [4 per cell]  4 O 2.62-2.85
Rb3 0.2346 0.5000 0.1562 [4 per cell]  3 O 2.68-2.79
Pd1 0.0670 0.5000 0.7067 [4 per cell]  4 O 1.98-2.14
O1 0.0000 0.5000 0.5000 [2 per cell]  2 Pd 2.14
O2 0.0419 0.0000 0.7137 [4 per cell]  2 Pd 2.10
O3 0.1391 0.5000 0.8919 [4 per cell]  1 Pd 1.98



The following is a DFT calculation (PBE) of crystalline Rb3PdO8 at its relaxed geometry.

Cell: 7.4475 7.4475 8.2040 Å, 90.00 90.00 90.00°
Last column: nearest neighbours and their distance in Å.
Space group I-42m (No. 121)
Symmetry-distinct sites (fractional):
Rb1 0.0000 0.0000 0.0000 [2 per cell]  4 O 2.90
Rb2 0.0000 0.5000 0.2500 [4 per cell]  4 O 2.81
Pd1 0.0000 0.0000 0.5000 [2 per cell]  4 O 2.04
O1 0.1609 0.1609 0.7138 [8 per cell]  1 O 1.40
O2 0.1900 0.1900 0.5471 [8 per cell]  1 O 1.40



The following is a DFT calculation (PBE) of crystalline RbPdO4 at its relaxed geometry.

Cell: 8.0773 7.8048 8.2361 Å, 90.00 117.64 90.00°
Last column: nearest neighbours and their distance in Å.
Space group C2/c (No. 15)
Symmetry-distinct sites (fractional):
Rb1 0.0000 0.1492 0.2500 [4 per cell]  10 O 3.03-3.25
Pd1 0.0000 0.3442 0.7500 [4 per cell]  4 O 1.81-1.82
O1 0.1110 0.2043 0.6515 [8 per cell]  1 Pd 1.82
O2 0.1773 0.4794 0.9216 [8 per cell]  1 Pd 1.81



The following is a DFT calculation (PBE) of crystalline RbPdO at its relaxed geometry.

Cell: 3.7602 3.7602 4.8949 Å, 90.00 90.00 120.00°
Last column: nearest neighbours and their distance in Å.
Space group P-6m2 (No. 187)
Symmetry-distinct sites (fractional):
Rb1 0.0000 0.0000 0.0000 [1 per cell]  6 O 3.27, 6 Pd 3.27
Pd1 0.6667 0.3333 0.5000 [1 per cell]  3 O 2.17
O1 0.3333 0.6667 0.5000 [1 per cell]  3 Pd 2.17



In meV/atom, the raw formation energy values for the records above are, in order, -759.6 -805.8 -416.0 -463.7 -847.5 -594.3 -55.6 -380.1.
In g cm⁻³, the ρ values for the records above are, in order, 5.4 3.2 3.3 4.6 4.6 3.6 3.7 5.8.
In μB/f.u., the total moment values for the records above are, in order, 0.0 0.0 3.3 0.3 1.0 1.0 1.1 0.0.